Material: Ni2MoBr2
Method: DFT, PBE
State: optimized geometry

Values from the calculation:
* spin magnetization: 0.0 μB/f.u.
* Fermi-level density of states: 9.92 states/eV/cell
* E_form (uncorrected): 3.798 eV per formula unit
* calculated total energy: -4.3883 eV/atom

Cell lengths 3.189, 3.189, 9.618 Å; angles 80.46, 80.46, 90.00 degrees
Fractional coordinates of all 5 atoms:
1 Br 0.585 0.585 0.829
2 Br 0.415 0.415 0.171
3 Mo 0.000 0.000 0.000
4 Ni 0.250 0.750 0.500
5 Ni 0.750 0.250 0.500

***

Material: NiMoBr3
Method: DFT, PBE
State: optimized geometry

Values from the calculation:
* spin magnetization: 4.6 μB/f.u.
* Fermi-level density of states: 5.38 states/eV/cell
* E_form (uncorrected): 2.808 eV per formula unit
* ΔE to the lowest computed polymorph: 0.0 meV per atom
* calculated total energy: -3.7646 eV/atom

Cell lengths 4.945, 4.945, 4.945 Å; angles 90.00, 90.00, 90.00 degrees
Site moments in Bohr magnetons follow the coordinates.
Fractional coordinates of all 5 atoms:
1 Br 0.000 0.500 0.000  -0.01
2 Br 0.500 0.000 0.000  0.01
3 Br 0.000 0.000 0.500  0.01
4 Mo 0.500 0.500 0.500  3.86
5 Ni 0.000 0.000 0.000  -0.04

***

Material: Ni3MoBr
Method: DFT, PBE
State: optimized geometry

Values from the calculation:
* spin magnetization: 0.0 μB/f.u.
* Fermi-level density of states: 7.46 states/eV/cell
* E_form (uncorrected): 7.096 eV per formula unit
* ΔE to the lowest computed polymorph: 170.6 meV per atom
* calculated total energy: -4.5503 eV/atom

Cell lengths 4.588, 4.588, 4.588 Å; angles 90.00, 90.00, 90.00 degrees
Fractional coordinates of all 5 atoms:
1 Br 0.500 0.500 0.500
2 Ni 0.000 0.500 0.000
3 Ni 0.000 0.000 0.500
4 Ni 0.500 0.000 0.000
5 Mo 0.000 0.000 0.000

***

Material: Ni3MoBr
Method: DFT, PBE
State: optimized geometry

Values from the calculation:
* spin magnetization: 4.2 μB/f.u.
* Fermi-level density of states: 4.13 states/eV/cell
* E_form (uncorrected): 6.244 eV per formula unit
* ΔE to the lowest computed polymorph: 0.0 meV per atom
* calculated total energy: -4.7209 eV/atom

Cell lengths 4.347, 4.347, 4.347 Å; angles 90.00, 90.00, 90.00 degrees
Site moments in Bohr magnetons follow the coordinates.
Fractional coordinates of all 5 atoms:
1 Br 0.000 0.000 0.000  0.05
2 Ni 0.000 0.500 0.000  0.14
3 Ni 0.000 0.000 0.500  0.19
4 Ni 0.500 0.000 0.000  0.20
5 Mo 0.500 0.500 0.500  3.00

***

> Which value of E_form (uncorrected) does entry 1 give?

3.798 eV per formula unit

***

> spin magnetization of number 3 (Ni3MoBr)?

0.0 μB/f.u.